1.
This record from the Open Quantum Materials Database describes an optimized crystal structure of Ba2Sn4PdPt. The functional is GGA-PBE.

a b c (Å): 7.8062 6.7039 6.7039
angles (deg): 39.27 90.00 90.00
Fractional positions:
Sn (0.8023, 0.1618, 0.1618)
Ba (0.5000, 0.5578, 0.5578)
Sn (0.1977, 0.1618, 0.1618)
Sn (0.6975, 0.8393, 0.8393)
Ba (0.0000, 0.4415, 0.4415)
Pt (0.0000, 0.7139, 0.7139)
Pd (0.5000, 0.2847, 0.2847)
Sn (0.3025, 0.8393, 0.8393)

Calculated values
final energy: -4.603 eV/atom

2.
This record from the Open Quantum Materials Database describes an optimized crystal structure of TcSnIr. The functional is GGA-PBE.

a b c (Å): 4.3314 4.3314 4.3314
angles (deg): 60.00 60.00 60.00
Fractional positions:
Ir (0.0000, 0.0000, 0.0000)
Tc (0.7500, 0.7500, 0.7500)
Sn (0.2500, 0.2500, 0.2500)

Calculated values
relative energy among the computed polymorphs: 0 kJ/mol of formula units